No. 1
Pm2Dy2O5: optimized geometry, PBE-GGA.

The structure belongs to space group P4/mmm (No. 123); the cell edges are 3.943, 3.943 and 9.506 Å and the angles 90.00°, 90.00° and 90.00°. Symmetry generates all atoms from Pm at (0.000, 0.000, 0.000), Pm at (0.000, 0.000, 0.500), Dy at (0.500, 0.500, 0.246), O at (0.000, 0.500, 0.151) and O at (0.500, 0.500, 0.500).

As for the crystal system: tetragonal. For the calculated volume, the calculation gives 16.42 A^3/atom. The calculation puts the total energy at -7.725 eV/atom.



No. 2
Pm2DyO4: optimized geometry, PBE-GGA.

The structure belongs to space group Fd-3m (No. 227, origin choice 2); the cell edges are 9.775, 9.775 and 9.775 Å and the angles 90.00°, 90.00° and 90.00°. Symmetry generates all atoms from Pm at (0.000, 0.000, 0.000), Dy at (0.125, 0.125, 0.625) and O at (0.003, 0.003, 0.247).

As for the crystal system: cubic. For the calculated volume, the calculation gives 16.68 A^3/atom. The calculation puts the total energy at -7.972 eV/atom.



No. 3
Pm2Dy2O5: optimized geometry, PBE-GGA.

The structure belongs to space group P4/mmm (No. 123); the cell edges are 3.882, 3.882 and 10.095 Å and the angles 90.00°, 90.00° and 90.00°. Symmetry generates all atoms from Pm at (0.000, 0.000, 0.240), Dy at (0.500, 0.500, 0.000), Dy at (0.500, 0.500, 0.500), O at (0.000, 0.000, 0.500) and O at (0.000, 0.500, 0.136).

As for the crystal system: tetragonal. For the calculated volume, the calculation gives 16.90 A^3/atom. The calculation puts the total energy at -7.616 eV/atom.



No. 4
PmDySO2: optimized geometry, PBE-GGA.

The structure belongs to space group P3m1 (No. 156); the cell edges are 3.8567, 3.8567 and 6.6624 Å and the angles 90.00°, 90.00° and 120.00°. Symmetry generates all atoms from Pm at (0.0000, 0.0000, 0.0000), Dy at (0.3333, 0.6667, 0.5622), S at (0.6667, 0.3333, 0.2850), O at (0.0000, 0.0000, 0.6439) and O at (0.3333, 0.6667, 0.9028).

As for the crystal system: trigonal. For the calculated volume, the calculation gives 17.16 A^3/atom. The calculation puts the total energy at -7.830 eV/atom.